No. 1
# NaHoTl2I6 | Alexandria via LeMat-Bulk | PBE | relaxed
# Space group = R3, No. 146
# DOS(E_F) = 0.000 states/eV/atom
# E_tot = -30.6 eV per cell
# E_form (uncorrected) = -1064 meV/atom
# Total magnetization = 0.00 μB/f.u.
data_NaHoTl2I6
_cell_length_a 8.663
_cell_length_b 8.663
_cell_length_c 8.663
_cell_angle_alpha 58.51
_cell_angle_beta 58.51
_cell_angle_gamma 58.51
_symmetry_space_group_name_H-M 'P 1'
_symmetry_Int_Tables_number 1
loop_
_symmetry_equiv_pos_as_xyz
'x,y,z'
loop_
_atom_site_label
_atom_site_type_symbol
_atom_site_fract_x
_atom_site_fract_y
_atom_site_fract_z
Na1 Na 0.000 0.000 0.000
Ho1 Ho 0.495 0.495 0.495
Tl1 Tl 0.289 0.289 0.289
Tl2 Tl 0.796 0.796 0.796
I1 I 0.151 0.719 0.358
I2 I 0.249 0.640 0.831
I3 I 0.358 0.151 0.719
I4 I 0.640 0.831 0.249
I5 I 0.719 0.358 0.151
I6 I 0.831 0.249 0.640

No. 2
# Ho2NbI | Alexandria via LeMat-Bulk | PBE | relaxed
# Space group = R-3m, No. 166
# DOS(E_F) = 1.475 states/eV/atom
# E_tot = -19.2 eV per cell
# E_form (uncorrected) = 406 meV/atom
# Total magnetization = 0.00 μB/f.u.
data_Ho2NbI
_cell_length_a 10.974
_cell_length_b 10.974
_cell_length_c 10.974
_cell_angle_alpha 18.05
_cell_angle_beta 18.05
_cell_angle_gamma 18.05
_symmetry_space_group_name_H-M 'P 1'
_symmetry_Int_Tables_number 1
loop_
_symmetry_equiv_pos_as_xyz
'x,y,z'
loop_
_atom_site_label
_atom_site_type_symbol
_atom_site_fract_x
_atom_site_fract_y
_atom_site_fract_z
Ho1 Ho 0.089 0.089 0.089
Ho2 Ho 0.911 0.911 0.911
Nb1 Nb 0.000 0.000 0.000
I1 I 0.500 0.500 0.500

No. 3
# HoNbI | Alexandria via LeMat-Bulk | PBE | relaxed
# Space group = Cmcm, No. 63
# DOS(E_F) = 1.227 states/eV/atom
# E_tot = -30.2 eV per cell
# E_form (uncorrected) = 367 meV/atom
# Total magnetization = 0.00 μB/f.u.
data_HoNbI
_cell_length_a 9.321
_cell_length_b 9.321
_cell_length_c 3.524
_cell_angle_alpha 90.00
_cell_angle_beta 90.00
_cell_angle_gamma 142.10
_symmetry_space_group_name_H-M 'P 1'
_symmetry_Int_Tables_number 1
loop_
_symmetry_equiv_pos_as_xyz
'x,y,z'
loop_
_atom_site_label
_atom_site_type_symbol
_atom_site_fract_x
_atom_site_fract_y
_atom_site_fract_z
Ho1 Ho 0.195 0.805 0.750
Ho2 Ho 0.805 0.195 0.250
Nb1 Nb 0.050 0.950 0.250
Nb2 Nb 0.950 0.050 0.750
I1 I 0.343 0.657 0.250
I2 I 0.657 0.343 0.750